<i>
Computed, not measured: Re5Os at its PBEsol-relaxed geometry at the SCAN level of DFT.

D(E_F)	4.31	states/eV/cell

abc: 4.7637 4.7637 4.4110
angles: 90.00 90.00 120.00
Atoms (fractional coordinates):
Re 0.0000 0.6678 0.0000
Re 0.3322 0.3322 0.0000
Re 0.3333 0.6667 0.5000
Re 0.6667 0.3333 0.5000
Re 0.6678 0.0000 0.0000
Os 0.0000 0.0000 0.5000

***

<ii>
Computed, not measured: Re5Os at its PBEsol-relaxed geometry at the SCAN level of DFT.

D(E_F)	4.03	states/eV/cell

abc: 5.1970 5.1970 6.4944
angles: 103.83 103.83 30.66
Atoms (fractional coordinates):
Re 0.0000 0.0000 0.0000
Re 0.0560 0.0560 0.6096
Re 0.3309 0.3309 0.6648
Re 0.3871 0.3871 0.2782
Re 0.7206 0.7206 0.9453
Os 0.6658 0.6658 0.3343

***

Bottom line: <ii>, by a margin of 5 meV/atom.

***

<i>
Computed, not measured: ReOs2 at its PBEsol-relaxed geometry at the SCAN level of DFT.

D(E_F)	3.55	states/eV/cell

abc: 5.1299 5.1299 6.4364
angles: 103.16 103.16 30.95
Atoms (fractional coordinates):
Re 0.0000 0.0000 0.0000
Re 0.6685 0.6685 0.3354
Os 0.2785 0.2785 0.0562
Os 0.3344 0.3344 0.6666
Os 0.6125 0.6125 0.7229
Os 0.9455 0.9455 0.3896

***

<ii>
Computed, not measured: ReOs2 at its PBEsol-relaxed geometry at the SCAN level of DFT.

D(E_F)	3.46	states/eV/cell

abc: 7.2707 7.2707 4.3343
angles: 90.00 90.00 158.25
Atoms (fractional coordinates):
Re 0.2212 0.7788 0.7500
Re 0.7788 0.2212 0.2500
Os 0.1107 0.8893 0.2500
Os 0.4443 0.5557 0.2500
Os 0.5557 0.4443 0.7500
Os 0.8893 0.1107 0.7500

***

<iii>
Computed, not measured: ReOs2 at its PBEsol-relaxed geometry at the SCAN level of DFT.

D(E_F)	3.57	states/eV/cell

abc: 5.1306 5.1306 6.4362
angles: 103.16 103.16 30.95
Atoms (fractional coordinates):
Re 0.1934 0.1934 0.1405
Re 0.8066 0.8066 0.8595
Os 0.1386 0.1386 0.5285
Os 0.4720 0.4720 0.1948
Os 0.5280 0.5280 0.8052
Os 0.8614 0.8614 0.4715

***

Bottom line: <i>, by a margin of 5 meV/atom.